! Pr6Nd5Sc (PBE-GGA, optimized geometry); values from VASP
! Energy of formation from the pure elements in eV/atom: 0.03
! Size of the total moment in Bohr magnetons per cell: 0.0
! Total energy in eV/cell: -58.54
&SYSTEM
  ibrav = 0, nat = 12, ntyp = 3
/
ATOMIC_SPECIES
Pr 140.91 Pr.upf
Nd 144.24 Nd.upf
Sc 44.96 Sc.upf
CELL_PARAMETERS angstrom
9.319 -2.600 0.000
9.319 2.600 0.000
-5.724 0.000 8.610
ATOMIC_POSITIONS angstrom
Pr 17.241 0.000 2.099
Pr -4.328 0.000 6.511
Pr 5.783 0.000 0.700
Pr 2.875 0.000 5.072
Pr 10.039 0.000 3.537
Pr 7.131 0.000 7.909
Nd 2.124 0.000 1.416
Nd -0.716 0.000 5.738
Nd 6.457 0.000 4.305
Nd 13.629 0.000 2.872
Nd 10.789 0.000 7.193
Sc 9.319 0.000 0.000